Entry 1:
## Zn17Co3 (GGA-PBEsol)

Data for crystalline Zn17Co3 at its relaxed geometry.

a b c (Å): 10.9811 10.9811 7.5388
angles (deg): 90.00 90.00 120.00
Positions (direct):
Zn 0.0000 0.5000 0.0081
Zn 0.0241 0.8133 0.6786
Zn 0.0688 0.8478 0.3227
Zn 0.0701 0.7576 0.0000
Zn 0.1080 0.6278 0.7108
Zn 0.1101 0.6303 0.3099
Zn 0.1122 0.4287 0.5075
Zn 0.1522 0.2210 0.9894
Zn 0.1561 0.4232 0.1793
Zn 0.1867 0.2109 0.3453
Zn 0.2109 0.0241 0.0119
Zn 0.2210 0.0688 0.6561
Zn 0.2424 0.3125 0.6667
Zn 0.2672 0.8439 0.5126
Zn 0.2788 0.6615 0.0012
Zn 0.3125 0.0701 0.3333
Zn 0.3165 0.8878 0.8409
Zn 0.3385 0.6173 0.6678
Zn 0.3697 0.4798 0.9766
Zn 0.3722 0.4803 0.3775
Zn 0.3827 0.7212 0.3345
Zn 0.4232 0.2672 0.8460
Zn 0.4287 0.3165 0.1742
Zn 0.4803 0.1080 0.0442
Zn 0.4798 0.1101 0.6432
Zn 0.5000 0.0000 0.3414
Zn 0.5000 0.5000 0.6747
Zn 0.5202 0.8899 0.6432
Zn 0.5197 0.8920 0.0442
Zn 0.5713 0.6835 0.1742
Zn 0.5768 0.7328 0.8460
Zn 0.6173 0.2788 0.3345
Zn 0.6278 0.5197 0.3775
Zn 0.6303 0.5202 0.9766
Zn 0.6615 0.3827 0.6678
Zn 0.6835 0.1122 0.8409
Zn 0.6875 0.9299 0.3333
Zn 0.7212 0.3385 0.0012
Zn 0.7328 0.1561 0.5126
Zn 0.7576 0.6875 0.6667
Zn 0.7790 0.9312 0.6561
Zn 0.7891 0.9759 0.0119
Zn 0.8133 0.7891 0.3453
Zn 0.8439 0.5768 0.1793
Zn 0.8478 0.7790 0.9894
Zn 0.8878 0.5713 0.5075
Zn 0.8899 0.3697 0.3099
Zn 0.8920 0.3722 0.7108
Zn 0.9299 0.2424 0.0000
Zn 0.9312 0.1522 0.3227
Zn 0.9759 0.1867 0.6786
Co 0.0000 0.0000 0.1666
Co 0.0000 0.0000 0.5000
Co 0.0000 0.0000 0.8333
Co 0.1396 0.4253 0.8386
Co 0.2857 0.8604 0.1719
Co 0.4253 0.2857 0.5052
Co 0.5747 0.7143 0.5052
Co 0.7143 0.1396 0.1719
Co 0.8604 0.5747 0.8386

Summary:
Density of states at the Fermi level in states/eV per cell: 16.6
Total DFT energy (no corrections) in eV per formula unit: -51.9
Size of the total moment in μB per cell: 2.778
ΔH_f (0 K) in eV per formula unit: -1.8

=====

Entry 2:
## ZnCo (GGA-PBEsol)

Data for crystalline ZnCo at its relaxed geometry.

a b c (Å): 4.8362 4.8362 4.8362
angles (deg): 147.64 129.34 61.41
Positions (direct):
Zn 0.3686 0.1186 0.2500
Zn 0.6314 0.8814 0.7500
Co 0.1164 0.3664 0.7500
Co 0.8836 0.6336 0.2500

Summary:
Density of states at the Fermi level in states/eV per cell: 3.9
Total DFT energy (no corrections) in eV per formula unit: -9.3
Size of the total moment in μB per cell: 2.173
ΔH_f (0 K) in eV per formula unit: 0.0

=====

Entry 3:
## Zn3Co (GGA-PBEsol)

Data for crystalline Zn3Co at its relaxed geometry.

a b c (Å): 3.6618 3.6618 3.6618
angles (deg): 90.00 90.00 90.00
Positions (direct):
Zn 0.0000 0.0000 0.5000
Zn 0.0000 0.5000 0.0000
Zn 0.5000 0.0000 0.0000
Co 0.5000 0.5000 0.5000

Summary:
Density of states at the Fermi level in states/eV per cell: 2.6
Total DFT energy (no corrections) in eV per formula unit: -12.8
Size of the total moment in μB per cell: 0.354
ΔH_f (0 K) in eV per formula unit: -0.3

=====

Entry 4:
## ZnCo3 (GGA-PBEsol)

Data for crystalline ZnCo3 at its relaxed geometry.

a b c (Å): 4.3410 8.1168 4.9422
angles (deg): 90.00 90.00 90.00
Positions (direct):
Zn 0.0702 0.2500 0.1246
Zn 0.4298 0.7500 0.6246
Zn 0.5702 0.2500 0.3754
Zn 0.9298 0.7500 0.8754
Co 0.0745 0.2500 0.6326
Co 0.2405 0.5046 0.3744
Co 0.2405 0.9954 0.3744
Co 0.2595 0.0046 0.8744
Co 0.2595 0.4954 0.8744
Co 0.4255 0.7500 0.1326
Co 0.5745 0.2500 0.8674
Co 0.7405 0.5046 0.1256
Co 0.7405 0.9954 0.1256
Co 0.7595 0.0046 0.6256
Co 0.7595 0.4954 0.6256
Co 0.9255 0.7500 0.3674

Summary:
Density of states at the Fermi level in states/eV per cell: 19.4
Total DFT energy (no corrections) in eV per formula unit: -24.6
Size of the total moment in μB per cell: 16.424
ΔH_f (0 K) in eV per formula unit: 0.2

=====

Entry 5:
## ZnCo (GGA-PBEsol)

Data for crystalline ZnCo at its relaxed geometry.

a b c (Å): 2.5586 4.1341 4.3777
angles (deg): 90.00 90.00 90.00
Positions (direct):
Zn 0.2500 0.2500 0.0898
Zn 0.7500 0.7500 0.9102
Co 0.2500 0.7500 0.4221
Co 0.7500 0.2500 0.5779

Summary:
Density of states at the Fermi level in states/eV per cell: 4.0
Total DFT energy (no corrections) in eV per formula unit: -9.3
Size of the total moment in μB per cell: 2.459
ΔH_f (0 K) in eV per formula unit: 0.1

=====

Entry 6:
## Zn3Co (GGA-PBEsol)

Data for crystalline Zn3Co at its relaxed geometry.

a b c (Å): 4.8963 4.8963 4.8963
angles (deg): 147.36 62.99 127.73
Positions (direct):
Zn 0.0000 0.0000 0.0000
Zn 0.3823 0.6219 0.7605
Zn 0.8614 0.6219 0.2395
Co 0.4867 0.9867 0.5000

Summary:
Density of states at the Fermi level in states/eV per cell: 2.8
Total DFT energy (no corrections) in eV per formula unit: -12.6
Size of the total moment in μB per cell: 0.001
ΔH_f (0 K) in eV per formula unit: -0.2

=====

Entry 7:
## ZnCo3 (GGA-PBEsol)

Data for crystalline ZnCo3 at its relaxed geometry.

a b c (Å): 8.2196 8.2196 8.2196
angles (deg): 17.51 17.51 17.51
Positions (direct):
Zn 0.0000 0.0000 0.0000
Co 0.2463 0.2463 0.2463
Co 0.5000 0.5000 0.5000
Co 0.7537 0.7537 0.7537

Summary:
Density of states at the Fermi level in states/eV per cell: 4.2
Total DFT energy (no corrections) in eV per formula unit: -24.7
Size of the total moment in μB per cell: 4.399
ΔH_f (0 K) in eV per formula unit: 0.1

=====

Entry 8:
## ZnCo (GGA-PBEsol)

Data for crystalline ZnCo at its relaxed geometry.

a b c (Å): 2.6087 2.6087 6.9110
angles (deg): 90.00 90.00 90.00
Positions (direct):
Zn 0.2500 0.2500 0.1451
Zn 0.7500 0.7500 0.8549
Co 0.2500 0.2500 0.6062
Co 0.7500 0.7500 0.3938

Summary:
Density of states at the Fermi level in states/eV per cell: 2.5
Total DFT energy (no corrections) in eV per formula unit: -9.4
Size of the total moment in μB per cell: 2.542
ΔH_f (0 K) in eV per formula unit: -0.1

=====

Entry 9:
## Zn11Co2 (GGA-PBEsol)

Data for crystalline Zn11Co2 at its relaxed geometry.

a b c (Å): 7.6036 7.6036 7.6036
angles (deg): 109.47 109.47 109.47
Positions (direct):
Zn 0.0000 0.0000 0.2076
Zn 0.0000 0.2076 0.0000
Zn 0.0000 0.3524 0.7415
Zn 0.0000 0.3542 0.3542
Zn 0.0000 0.6458 0.6458
Zn 0.0000 0.7415 0.3524
Zn 0.2076 0.0000 0.0000
Zn 0.2585 0.2585 0.6109
Zn 0.2585 0.6109 0.2585
Zn 0.3524 0.0000 0.7415
Zn 0.3524 0.7415 0.0000
Zn 0.3542 0.0000 0.3542
Zn 0.3542 0.3542 0.0000
Zn 0.3891 0.6476 0.6476
Zn 0.6109 0.2585 0.2585
Zn 0.6458 0.0000 0.6458
Zn 0.6458 0.6458 0.0000
Zn 0.6476 0.3891 0.6476
Zn 0.6476 0.6476 0.3891
Zn 0.7415 0.0000 0.3524
Zn 0.7415 0.3524 0.0000
Zn 0.7924 0.7924 0.7924
Co 0.0000 0.0000 0.6569
Co 0.0000 0.6569 0.0000
Co 0.3431 0.3431 0.3431
Co 0.6569 0.0000 0.0000

Summary:
Density of states at the Fermi level in states/eV per cell: 17.2
Total DFT energy (no corrections) in eV per formula unit: -34.2
Size of the total moment in μB per cell: 1.042
ΔH_f (0 K) in eV per formula unit: -1.4

=====

Entry 10:
## Zn5Co (GGA-PBEsol)

Data for crystalline Zn5Co at its relaxed geometry.

a b c (Å): 4.1645 6.9953 6.9953
angles (deg): 22.39 90.00 90.00
Positions (direct):
Zn 0.0000 0.0000 0.0000
Zn 0.0000 0.3127 0.3127
Zn 0.5000 0.1082 0.1082
Zn 0.5000 0.4350 0.4350
Zn 0.5000 0.7651 0.7651
Co 0.0000 0.6572 0.6572

Summary:
Density of states at the Fermi level in states/eV per cell: 3.2
Total DFT energy (no corrections) in eV per formula unit: -15.8
Size of the total moment in μB per cell: 0.002
ΔH_f (0 K) in eV per formula unit: -0.1

=====

Entry 11:
## Zn3Co (GGA-PBEsol)

Data for crystalline Zn3Co at its relaxed geometry.

a b c (Å): 4.1407 5.1275 4.6370
angles (deg): 90.00 90.00 90.00
Positions (direct):
Zn 0.2500 0.0021 0.1628
Zn 0.2500 0.4979 0.1628
Zn 0.2500 0.7500 0.6448
Zn 0.7500 0.2500 0.3552
Zn 0.7500 0.5021 0.8372
Zn 0.7500 0.9979 0.8372
Co 0.2500 0.2500 0.6627
Co 0.7500 0.7500 0.3373

Summary:
Density of states at the Fermi level in states/eV per cell: 4.7
Total DFT energy (no corrections) in eV per formula unit: -12.7
Size of the total moment in μB per cell: 0.004
ΔH_f (0 K) in eV per formula unit: -0.3

=====

Entry 12:
## Zn3Co (GGA-PBEsol)

Data for crystalline Zn3Co at its relaxed geometry.

a b c (Å): 4.8574 4.8574 4.8574
angles (deg): 117.05 117.05 117.05
Positions (direct):
Zn 0.0000 0.5000 0.5000
Zn 0.5000 0.0000 0.5000
Zn 0.5000 0.5000 0.0000
Co 0.0000 0.0000 0.0000

Summary:
Density of states at the Fermi level in states/eV per cell: 2.9
Total DFT energy (no corrections) in eV per formula unit: -12.4
Size of the total moment in μB per cell: 1.089
ΔH_f (0 K) in eV per formula unit: 0.1

=====

Entry 13:
## Zn3Co (GGA-PBEsol)

Data for crystalline Zn3Co at its relaxed geometry.

a b c (Å): 2.6462 3.5741 5.2639
angles (deg): 90.00 90.00 90.00
Positions (direct):
Zn 0.0000 0.0000 0.0000
Zn 0.5000 0.5000 0.2678
Zn 0.5000 0.5000 0.7322
Co 0.0000 0.0000 0.5000

Summary:
Density of states at the Fermi level in states/eV per cell: 3.4
Total DFT energy (no corrections) in eV per formula unit: -12.5
Size of the total moment in μB per cell: 0.472
ΔH_f (0 K) in eV per formula unit: 0.0

=====

Entry 14:
## ZnCo3 (GGA-PBEsol)

Data for crystalline ZnCo3 at its relaxed geometry.

a b c (Å): 2.5045 3.4679 5.0247
angles (deg): 90.00 90.00 90.00
Positions (direct):
Zn 0.0000 0.0000 0.0000
Co 0.0000 0.0000 0.5000
Co 0.5000 0.5000 0.2610
Co 0.5000 0.5000 0.7390

Summary:
Density of states at the Fermi level in states/eV per cell: 4.9
Total DFT energy (no corrections) in eV per formula unit: -24.7
Size of the total moment in μB per cell: 4.324
ΔH_f (0 K) in eV per formula unit: 0.1

=====

Entry 15:
## ZnCo (GGA-PBEsol)

Data for crystalline ZnCo at its relaxed geometry.

a b c (Å): 2.5557 2.5557 4.1210
angles (deg): 90.00 90.00 120.00
Positions (direct):
Zn 0.0000 0.0000 0.0000
Co 0.6667 0.3333 0.5000

Summary:
Density of states at the Fermi level in states/eV per cell: 2.3
Total DFT energy (no corrections) in eV per formula unit: -9.3
Size of the total moment in μB per cell: 1.269
ΔH_f (0 K) in eV per formula unit: 0.1

=====

Entry 16:
## ZnCo2 (GGA-PBEsol)

Data for crystalline ZnCo2 at its relaxed geometry.

a b c (Å): 4.7652 4.7652 5.9627
angles (deg): 105.83 105.83 30.91
Positions (direct):
Zn 0.1867 0.1867 0.1366
Zn 0.8133 0.8133 0.8634
Co 0.1364 0.1364 0.5290
Co 0.4737 0.4737 0.2150
Co 0.5263 0.5263 0.7850
Co 0.8636 0.8636 0.4710

Summary:
Density of states at the Fermi level in states/eV per cell: 4.2
Total DFT energy (no corrections) in eV per formula unit: -17.0
Size of the total moment in μB per cell: 5.440
ΔH_f (0 K) in eV per formula unit: 0.0

=====

Entry 17:
## Zn5Co (GGA-PBEsol)

Data for crystalline Zn5Co at its relaxed geometry.

a b c (Å): 5.9677 5.9677 3.6467
angles (deg): 90.00 90.00 143.80
Positions (direct):
Zn 0.0000 0.0000 0.0000
Zn 0.1611 0.8389 0.5000
Zn 0.3388 0.6612 0.0000
Zn 0.6612 0.3388 0.0000
Zn 0.8389 0.1611 0.5000
Co 0.5000 0.5000 0.5000

Summary:
Density of states at the Fermi level in states/eV per cell: 2.6
Total DFT energy (no corrections) in eV per formula unit: -15.9
Size of the total moment in μB per cell: 0.002
ΔH_f (0 K) in eV per formula unit: -0.3

=====

Entry 18:
## Zn5Co (GGA-PBEsol)

Data for crystalline Zn5Co at its relaxed geometry.

a b c (Å): 5.0038 5.0038 6.2063
angles (deg): 104.96 104.96 31.14
Positions (direct):
Zn 0.0000 0.0000 0.0000
Zn 0.0475 0.0475 0.6179
Zn 0.3859 0.3859 0.2849
Zn 0.6742 0.6742 0.3585
Zn 0.7286 0.7286 0.9282
Co 0.3346 0.3346 0.6689

Summary:
Density of states at the Fermi level in states/eV per cell: 3.4
Total DFT energy (no corrections) in eV per formula unit: -15.8
Size of the total moment in μB per cell: 0.004
ΔH_f (0 K) in eV per formula unit: -0.2

=====

Entry 19:
## Zn2Co (GGA-PBEsol)

Data for crystalline Zn2Co at its relaxed geometry.

a b c (Å): 4.0699 4.0699 2.5276
angles (deg): 90.00 90.00 120.00
Positions (direct):
Zn 0.3333 0.6667 0.3826
Zn 0.6667 0.3333 0.6174
Co 0.0000 0.0000 0.0000

Summary:
Density of states at the Fermi level in states/eV per cell: 1.7
Total DFT energy (no corrections) in eV per formula unit: -10.9
Size of the total moment in μB per cell: 0.850
ΔH_f (0 K) in eV per formula unit: 0.0

=====

Entry 20:
## Zn3Co (GGA-PBEsol)

Data for crystalline Zn3Co at its relaxed geometry.

a b c (Å): 4.3219 4.3219 2.7647
angles (deg): 90.00 90.00 106.41
Positions (direct):
Zn 0.0000 0.0000 0.0000
Zn 0.0000 0.5000 0.5000
Zn 0.5000 0.0000 0.5000
Co 0.5000 0.5000 0.0000

Summary:
Density of states at the Fermi level in states/eV per cell: 2.7
Total DFT energy (no corrections) in eV per formula unit: -12.6
Size of the total moment in μB per cell: 0.055
ΔH_f (0 K) in eV per formula unit: -0.1